A relaxed Sr6MgW4O18 crystal. Source: the Alexandria database, functional PBE+U. Values from VASP.

Quantum ESPRESSO input file:
```
&SYSTEM
  ibrav = 0, nat = 29, ntyp = 4
/
ATOMIC_SPECIES
Sr 87.62 Sr.upf
Mg 24.30 Mg.upf
W 183.84 W.upf
O 16.00 O.upf
ATOMIC_POSITIONS angstrom
Sr 0.000 0.000 0.000
Sr 1.939 7.602 4.570
Sr 2.253 3.361 2.319
Sr 4.334 2.940 6.687
Sr 5.268 5.298 3.895
Sr 5.351 3.730 0.156
Mg 5.890 7.190 6.720
W 1.325 4.340 5.600
W 3.114 6.051 7.380
W 4.144 7.007 1.145
W 5.372 1.332 3.112
O 1.043 5.117 3.918
O 0.853 4.547 0.319
O 2.133 4.058 7.478
O 2.075 2.755 5.025
O 3.248 5.291 5.493
O 3.740 7.831 6.810
O 2.288 0.651 0.433
O 3.878 7.655 3.122
O 3.898 5.159 1.684
O 5.003 5.578 7.622
O 4.619 2.932 3.648
O 4.740 1.668 1.199
O 6.594 8.328 8.169
O 6.110 7.742 4.796
O 6.470 3.861 5.913
O 6.058 6.805 2.096
O 7.940 6.240 6.578
O 7.122 1.843 2.759
CELL_PARAMETERS angstrom
6.878 0.000 0.000
0.387 7.259 0.000
1.692 1.838 8.822
```

Calculated values
For the density of states at the Fermi level, the calculation gives 0.00 states/eV/f.u. Its space group is P1 (1). The excess energy over the best structure of this formula in the dataset is 0 kJ/mol of formula units. The calculation puts the total moment at 0.0690 μB/atom.